Compound: TbSmTm
Source: Alexandria via LeMat-Bulk
Functional: PBE
Structure: optimized geometry

Output
DOS at the Fermi energy, states/eV/cell: 11.037
ΔE to the lowest computed polymorph, eV per atom: 0.791
Formation energy, eV per atom: 0.786
V, Å³ per cell: 221.2

Unit cell a=5.917 b=5.917 c=6.320 alpha=90.00 beta=90.00 gamma=90.00
Element x y z (fractional)
Tb 0.000 0.500 0.000
Tb 0.500 0.000 0.500
Sm 0.000 0.000 0.000
Sm 0.000 0.000 0.500
Tm 0.500 0.500 0.250
Tm 0.500 0.500 0.750